Sb3WBr | Alexandria via LeMat-Bulk | meta-GGA SCAN | single point on PBEsol structure; total energy = -38.15 eV per atom; symmetry = Pm-3m (221); calculated volume = 145 Å³ per cell
1.0
-0.079 -3.864 -3.553
5.024 0.976 -1.172
1.523 -3.417 3.683
Sb W Br
3 1 1
Direct
0.000 0.000 0.500
0.000 0.500 0.000
0.500 0.000 0.000
0.500 0.500 0.500
0.000 0.000 0.000